{"formula": "Sr3Ac3ScSe8", "functional": "GGA-PBE", "state": "relaxed", "rho_g_cm3": 5.56, "space_group": "R-3m, No. 166", "formation_energy_uncorrected_ev_per_atom": -1.921, "cell": [[-2.014, -8.076, -2.755], [3.688, 5.723, -5.523], [4.808, -3.448, 6.594]], "species": ["Ac", "Se", "Se", "Sr", "Sc", "Ac", "Sr", "Ac", "Se", "Se", "Sr", "Se", "Se", "Se", "Se"], "frac_coords": [[0.500, 0.000, 0.500], [0.752, 0.504, 0.756], [0.227, 0.000, 0.727], [0.500, 0.500, 0.000], [0.000, 0.000, 0.500], [0.500, 0.500, 0.500], [0.000, 0.000, 0.000], [0.000, 0.500, 0.500], [0.773, 0.000, 0.727], [0.227, 0.454, 0.727], [0.000, 0.500, 0.000], [0.773, 0.546, 0.273], [0.227, 0.000, 0.273], [0.773, 0.000, 0.273], [0.248, 0.496, 0.244]]}

---

{"formula": "Ac3Tb3ScSe8", "functional": "GGA-PBE", "state": "relaxed", "rho_g_cm3": 7.06, "space_group": "R-3m, No. 166", "formation_energy_uncorrected_ev_per_atom": -1.832, "cell": [[-2.931, 4.537, 6.371], [-5.155, -4.956, -4.318], [5.829, -3.586, 5.236]], "species": ["Ac", "Tb", "Se", "Sc", "Se", "Se", "Se", "Ac", "Se", "Tb", "Se", "Se", "Tb", "Ac", "Se"], "frac_coords": [[0.000, 0.500, 0.000], [0.500, 0.500, 0.500], [0.259, 0.518, 0.277], [0.000, 0.000, 0.500], [0.763, 0.527, 0.280], [0.741, 0.482, 0.723], [0.237, 0.473, 0.720], [0.000, 0.000, 0.000], [0.237, 0.984, 0.720], [0.500, 0.000, 0.500], [0.747, 0.984, 0.720], [0.253, 0.016, 0.280], [0.000, 0.500, 0.500], [0.500, 0.500, 0.000], [0.763, 0.016, 0.280]]}

---

{"formula": "AcTb2ScSe6", "functional": "GGA-PBE", "state": "relaxed", "rho_g_cm3": 5.91, "space_group": "R3, No. 146", "formation_energy_uncorrected_ev_per_atom": -1.812, "cell": [[-2.382, -2.009, -6.600], [-1.575, -7.000, -1.337], [-7.432, -1.991, -0.749]], "species": ["Se", "Sc", "Tb", "Se", "Ac", "Se", "Tb", "Se", "Se", "Se"], "frac_coords": [[0.719, 0.152, 0.752], [0.323, 0.323, 0.031], [0.009, 0.009, 0.972], [0.935, 0.593, 0.244], [0.805, 0.805, 0.584], [0.152, 0.376, 0.752], [0.521, 0.521, 0.438], [0.593, 0.228, 0.244], [0.228, 0.935, 0.244], [0.376, 0.719, 0.752]]}